1.
MgCu2Hg | Alexandria via LeMat-Bulk | SCAN | PBEsol geometry; calculated volume = 61.20 Å³/cell; calculated total energy = -103.8 eV per formula unit; space-group type = P4mm (99); spin magnetization = 0.00 μB/f.u.; formation energy from the elements = -0.06 eV/atom
1.0
-1.6694 -0.1317 2.6722
-0.5241 -3.0726 -0.4789
5.1197 -1.3613 3.1313
Hg Cu Mg
1 2 1
Direct
0.0000 0.0000 0.4769 Hg
0.5000 0.5000 0.2128 Cu
0.0000 0.0000 0.0297 Cu
0.5000 0.5000 0.7805 Mg

=====

2.
Mg2CuHg | Alexandria via LeMat-Bulk | SCAN | PBEsol geometry; calculated volume = 70.20 Å³/cell; calculated total energy = -94.2 eV per formula unit; space-group type = P4/mmm (123); spin magnetization = 0.00 μB/f.u.; formation energy from the elements = -0.22 eV/atom
1.0
-3.0034 0.7741 0.7590
-0.9133 -0.6022 -2.9998
-1.2595 -6.5523 1.6988
Mg Hg Cu
2 1 1
Direct
0.0000 0.0000 0.7796 Mg
0.0000 0.0000 0.2204 Mg
0.5000 0.5000 0.5000 Hg
0.5000 0.5000 0.0000 Cu

=====

3.
MgCu2Hg | Alexandria via LeMat-Bulk | SCAN | PBEsol geometry; calculated volume = 60.73 Å³/cell; calculated total energy = -103.6 eV per formula unit; space-group type = P4/mmm (123); spin magnetization = 0.00 μB/f.u.; formation energy from the elements = -0.01 eV/atom
1.0
3.2111 0.0930 0.0000
-0.0946 3.2110 0.0000
0.0000 0.0000 5.8848
Cu Hg Mg
2 1 1
Direct
0.0000 0.0000 0.7602 Cu
0.0000 0.0000 0.2398 Cu
0.5000 0.5000 0.5000 Hg
0.5000 0.5000 0.0000 Mg

=====

4.
MgCu4Hg | Alexandria via LeMat-Bulk | SCAN | PBEsol geometry; calculated volume = 83.18 Å³/cell; calculated total energy = -134.4 eV per formula unit; space-group type = F-43m (216); spin magnetization = 0.00 μB/f.u.; formation energy from the elements = -0.07 eV/atom
1.0
-4.5051 1.5942 -1.0818
-1.6130 -0.1661 -4.6236
-3.4923 -3.1963 -1.2630
Cu Hg Mg
4 1 1
Direct
0.3747 0.8759 0.3747 Cu
0.3747 0.3747 0.3747 Cu
0.3747 0.3747 0.8759 Cu
0.8759 0.3747 0.3747 Cu
0.7500 0.7500 0.7500 Hg
0.0000 0.0000 0.0000 Mg

=====

5.
MgCu2Hg | Alexandria via LeMat-Bulk | SCAN | PBEsol geometry; calculated volume = 60.30 Å³/cell; calculated total energy = -103.8 eV per formula unit; space-group type = Imm2 (44); spin magnetization = 0.00 μB/f.u.; formation energy from the elements = -0.06 eV/atom
1.0
3.6398 0.0000 0.0000
0.0000 4.0842 0.0000
-1.8199 -2.0421 4.0565
Mg Hg Cu
1 1 2
Direct
0.2548 0.2548 0.5096 Mg
0.4909 0.9909 0.9819 Hg
0.0162 0.5162 0.0325 Cu
0.7380 0.7380 0.4761 Cu

=====

6.
Mg2CuHg | Alexandria via LeMat-Bulk | SCAN | PBEsol geometry; calculated volume = 72.60 Å³/cell; calculated total energy = -94.1 eV per formula unit; space-group type = Pm (6); spin magnetization = 0.00 μB/f.u.; formation energy from the elements = -0.20 eV/atom
1.0
3.1386 0.0000 -0.0317
0.0000 4.3820 0.0000
-1.5508 0.0000 5.2940
Cu Mg Hg
1 2 1
Direct
0.2992 0.0000 0.4744 Cu
0.0418 0.0000 0.9554 Mg
0.7138 0.5000 0.3067 Mg
0.4452 0.5000 0.7636 Hg

=====

7.
Mg2CuHg | Alexandria via LeMat-Bulk | SCAN | PBEsol geometry; calculated volume = 70.83 Å³/cell; calculated total energy = -94.0 eV per formula unit; space-group type = Cm (8); spin magnetization = 0.00 μB/f.u.; formation energy from the elements = -0.18 eV/atom
1.0
-1.2194 2.9750 -0.9508
-3.5702 -0.5827 2.7554
4.7184 0.8611 2.5548
Hg Mg Cu
1 2 1
Direct
0.7715 0.2719 0.5429 Hg
0.0070 0.0067 0.0139 Mg
0.2262 0.7266 0.4525 Mg
0.4953 0.4947 0.9907 Cu

=====

8.
MgCu2Hg | Alexandria via LeMat-Bulk | SCAN | PBEsol geometry; calculated volume = 60.43 Å³/cell; calculated total energy = -103.7 eV per formula unit; space-group type = P4/mmm (123); spin magnetization = 0.00 μB/f.u.; formation energy from the elements = -0.04 eV/atom
1.0
-1.0946 -2.5685 -2.3706
3.7403 -1.5836 -0.0113
-1.0146 -2.4253 3.0963
Hg Mg Cu
1 1 2
Direct
0.5000 0.0000 0.0000 Hg
0.5000 0.5000 0.5000 Mg
0.0000 0.5000 0.0000 Cu
0.0000 0.0000 0.5000 Cu

=====

9.
MnCuHg2 | Alexandria via LeMat-Bulk | SCAN | PBEsol geometry; calculated volume = 66.98 Å³/cell; calculated total energy = -169.4 eV per formula unit; space-group type = Imm2 (44); spin magnetization = 4.19 μB/f.u.; formation energy from the elements = 0.10 eV/atom
1.0
3.1421 0.0000 0.0000
0.0000 4.5905 0.0000
-1.5711 -2.2953 4.6436
Cu Mn Hg
1 1 2
Direct
0.2388 0.7388 0.4775 Cu
0.5200 0.5200 0.0400 Mn
0.7591 0.2591 0.5181 Hg
0.9822 0.9822 0.9644 Hg

=====

10.
MnCuHg | Alexandria via LeMat-Bulk | SCAN | PBEsol geometry; calculated volume = 53.62 Å³/cell; calculated total energy = -100.7 eV per formula unit; space-group type = F-43m (216); spin magnetization = 4.11 μB/f.u.; formation energy from the elements = 0.31 eV/atom
1.0
4.2326 0.0000 0.0000
2.1163 3.6655 0.0000
2.1163 1.2218 3.4559
Hg Mn Cu
1 1 1
Direct
0.5000 0.5000 0.5000 Hg
0.2500 0.2500 0.2500 Mn
0.0000 0.0000 0.0000 Cu

=====

11.
MnCu2Hg | Alexandria via LeMat-Bulk | SCAN | PBEsol geometry; calculated volume = 57.22 Å³/cell; calculated total energy = -116.6 eV per formula unit; space-group type = C2/m (12); spin magnetization = 3.98 μB/f.u.; formation energy from the elements = 0.07 eV/atom
1.0
-0.9892 -1.9886 1.8677
-1.8464 -0.8030 -4.0873
4.0364 -2.3217 -0.3342
Hg Cu Mn
1 2 1
Direct
0.0000 0.0000 0.5000 Hg
0.7563 0.5126 0.7790 Cu
0.2437 0.4874 0.2210 Cu
0.5000 0.0000 0.0000 Mn

=====

12.
MnCu2Hg | Alexandria via LeMat-Bulk | SCAN | PBEsol geometry; calculated volume = 56.96 Å³/cell; calculated total energy = -116.6 eV per formula unit; space-group type = P4/mmm (123); spin magnetization = 4.17 μB/f.u.; formation energy from the elements = 0.06 eV/atom
1.0
3.7320 0.0000 0.0000
0.0000 3.9069 0.0000
0.0000 0.0000 3.9069
Mn Cu Hg
1 2 1
Direct
0.5000 0.0000 0.0000 Mn
0.0000 0.5000 0.0000 Cu
0.0000 0.0000 0.5000 Cu
0.5000 0.5000 0.5000 Hg

=====

13.
ScCu2HgMo | Alexandria via LeMat-Bulk | SCAN | PBEsol geometry; calculated volume = 109.89 Å³/cell; calculated total energy = -141.4 eV per formula unit; space-group type = P4/mmm (123); spin magnetization = 3.82 μB/f.u.; formation energy from the elements = 1.26 eV/atom
1.0
4.6445 0.0000 0.0000
0.0000 4.6445 0.0000
0.0000 0.0000 5.0940
Mo Sc Cu Hg
1 1 2 1
Direct
0.5000 0.5000 0.5000 Mo
0.0000 0.0000 0.5000 Sc
0.5000 0.0000 0.0000 Cu
0.0000 0.5000 0.0000 Cu
0.0000 0.0000 0.0000 Hg

=====

14.
CuHgN2 | Alexandria via LeMat-Bulk | SCAN | PBEsol geometry; calculated volume = 48.36 Å³/cell; calculated total energy = -97.8 eV per formula unit; energy relative to the elements, uncorrected = 1.04 eV per atom; space-group type = R-3m (166); spin magnetization = 0.00 μB/f.u.
1.0
3.0439 0.0000 0.0000
1.5220 2.6361 0.0000
1.5220 0.8787 6.0267
N Hg Cu
2 1 1
Direct
0.8841 0.8841 0.3478 N
0.1159 0.1159 0.6522 N
0.0000 0.0000 0.0000 Hg
0.5000 0.5000 0.5000 Cu

=====

15.
Na3CuHg | Alexandria via LeMat-Bulk | SCAN | PBEsol geometry; calculated volume = 170.86 Å³/cell; calculated total energy = -93.7 eV per formula unit; space-group type = Pm-3m (221); spin magnetization = 0.00 μB/f.u.; formation energy from the elements = 0.45 eV/atom
1.0
5.5490 0.0000 0.0000
0.0000 5.5490 0.0000
0.0000 0.0000 5.5490
Na Hg Cu
3 1 1
Direct
0.0000 0.5000 0.0000 Na
0.0000 0.0000 0.5000 Na
0.5000 0.0000 0.0000 Na
0.0000 0.0000 0.0000 Hg
0.5000 0.5000 0.5000 Cu

=====

16.
NbCuHg3 | Alexandria via LeMat-Bulk | SCAN | PBEsol geometry; calculated volume = 148.30 Å³/cell; calculated total energy = -247.0 eV per formula unit; space-group type = Pm-3m (221); spin magnetization = 0.02 μB/f.u.; formation energy from the elements = 1.17 eV/atom
1.0
-4.8286 2.1610 0.1774
-1.4164 -2.8158 -4.2523
-1.6417 -3.9266 3.1470
Nb Hg Cu
1 3 1
Direct
0.0000 0.0000 0.0000 Nb
0.0000 0.0000 0.5000 Hg
0.5000 0.0000 0.0000 Hg
0.0000 0.5000 0.0000 Hg
0.5000 0.5000 0.5000 Cu

=====

17.
ScNbCuHg2 | Alexandria via LeMat-Bulk | SCAN | PBEsol geometry; calculated volume = 124.66 Å³/cell; calculated total energy = -192.4 eV per formula unit; space-group type = P4/mmm (123); spin magnetization = 0.00 μB/f.u.; formation energy from the elements = 1.30 eV/atom
1.0
4.6196 0.0000 0.0000
0.0000 5.1948 0.0000
0.0000 0.0000 5.1948
Hg Nb Cu Sc
2 1 1 1
Direct
0.0000 0.5000 0.0000 Hg
0.0000 0.0000 0.5000 Hg
0.5000 0.0000 0.0000 Nb
0.5000 0.5000 0.5000 Cu
0.0000 0.0000 0.0000 Sc

=====

18.
CuNiHg | Alexandria via LeMat-Bulk | SCAN | PBEsol geometry; calculated volume = 42.91 Å³/cell; calculated total energy = -98.4 eV per formula unit; space-group type = P3m1 (156); spin magnetization = 0.01 μB/f.u.; excess energy over the best structure of this formula in the dataset = 0.000 eV/atom; formation energy from the elements = 0.38 eV/atom
1.0
-2.3093 -1.3290 0.9851
2.1956 -1.5094 -0.9850
2.4567 -0.0981 5.6267
Ni Cu Hg
1 1 1
Direct
0.3333 0.6667 0.3152 Ni
0.0000 0.0000 0.0229 Cu
0.6667 0.3333 0.6620 Hg

=====

19.
Cu2NiHg | Alexandria via LeMat-Bulk | SCAN | PBEsol geometry; calculated volume = 52.66 Å³/cell; calculated total energy = -114.0 eV per formula unit; space-group type = P4mm (99); spin magnetization = 0.00 μB/f.u.; formation energy from the elements = 0.17 eV/atom
1.0
2.9540 0.0000 0.0000
0.0000 2.9540 0.0000
0.0000 0.0000 6.0346
Cu Hg Ni
2 1 1
Direct
0.0000 0.0000 0.9967 Cu
0.5000 0.5000 0.2118 Cu
0.0000 0.0000 0.5058 Hg
0.5000 0.5000 0.7857 Ni

=====

20.
CuNiHg | Alexandria via LeMat-Bulk | SCAN | PBEsol geometry; calculated volume = 50.25 Å³/cell; calculated total energy = -97.8 eV per formula unit; space-group type = F-43m (216); spin magnetization = 0.00 μB/f.u.; excess energy over the best structure of this formula in the dataset = 0.185 eV/atom; formation energy from the elements = 0.57 eV/atom
1.0
-0.1269 -1.8724 3.6926
-2.1324 -3.5206 0.4648
2.0079 -3.5765 0.5787
Cu Ni Hg
1 1 1
Direct
0.5000 0.5000 0.5000 Cu
0.0000 0.0000 0.0000 Ni
0.2500 0.2500 0.2500 Hg